# Np2CoO6, optimized geometry, DFT PBE+U
# VASP energy: -9.24 eV/atom
# Total moment: 7.00 μB/f.u.
data_Np2CoO6
_symmetry_space_group_name_H-M 'P 3 2 1'
_symmetry_Int_Tables_number 150
_cell_length_a 9.1774
_cell_length_b 9.1774
_cell_length_c 4.9892
_cell_angle_alpha 90.00
_cell_angle_beta 90.00
_cell_angle_gamma 120.00
loop_
_symmetry_equiv_pos_as_xyz
'x,y,z'
'-y,x-y,z'
'-x+y,-x,z'
'y,x,-z'
'x-y,-y,-z'
'-x,-x+y,-z'
loop_
_atom_site_label
_atom_site_type_symbol
_atom_site_fract_x
_atom_site_fract_y
_atom_site_fract_z
Np1 Np 0.0000 0.3171 0.0000
Np2 Np 0.0000 0.6508 0.5000
Co1 Co 0.0000 0.0000 0.5000
Co2 Co 0.3333 0.6667 0.0160
O1 O 0.1037 0.8783 0.2778
O2 O 0.1096 0.5475 0.2410
O3 O 0.2208 0.4426 0.7836